DFT (PBE with a Hubbard U) results for an optimized crystal structure of Li3Ti2VO6.

The structure in POSCAR format:
```
Li3Ti2VO6
1.0
-2.676 -3.756 -4.827
-0.779 -5.630 -3.502
-4.639 -2.797 2.686
O Li V Ti
6 3 1 2
direct
0.493 0.493 0.755
0.831 0.831 0.601
0.827 0.827 0.068
0.169 0.169 0.399
0.173 0.173 0.932
0.507 0.507 0.245
0.665 0.665 0.668
0.000 0.000 0.000
0.335 0.335 0.332
0.000 0.000 0.500
0.662 0.662 0.174
0.338 0.338 0.826
```

Summary:
The value obtained for the total energy is -7.353 eV/atom. The density comes out at 3.859 g/cm³.